(1)
# Sb2Os (PBE-GGA, relaxed)
data_Sb2Os
_chemical_formula_sum 'Sb2 Os1'
_space_group_name_H-M_alt 'P 6/m m m'
_space_group_IT_number 191
_space_group_name_Hall '-P 6 2'
_cell_length_a 5.0472
_cell_length_b 5.0472
_cell_length_c 2.9639
_cell_angle_alpha 90.00
_cell_angle_beta 90.00
_cell_angle_gamma 120.00
loop_
_atom_site_label
_atom_site_type_symbol
_atom_site_fract_x
_atom_site_fract_y
_atom_site_fract_z
Sb1 Sb 0.3333 0.6667 0.0000
Os1 Os 0.0000 0.0000 0.5000
# - Crystal system: hexagonal
# - E_tot: -5.252 eV/atom
# - DOS at the Fermi energy: 2.9 states/eV/f.u.
# - Volume: 65 Å³/cell

(2)
# Sb2Os (PBE-GGA, relaxed)
data_Sb2Os
_chemical_formula_sum 'Sb6 Os3'
_space_group_name_H-M_alt 'P -6 2 m'
_space_group_IT_number 189
_space_group_name_Hall 'P -6 -2'
_cell_length_a 7.4309
_cell_length_b 7.4309
_cell_length_c 3.9020
_cell_angle_alpha 90.00
_cell_angle_beta 90.00
_cell_angle_gamma 120.00
loop_
_atom_site_label
_atom_site_type_symbol
_atom_site_fract_x
_atom_site_fract_y
_atom_site_fract_z
Sb1 Sb 0.0000 0.2640 0.0000
Sb2 Sb 0.0000 0.5981 0.5000
Os1 Os 0.0000 0.0000 0.5000
Os2 Os 0.3333 0.6667 0.0000
# - Crystal system: hexagonal
# - E_tot: -6.101 eV/atom
# - DOS at the Fermi energy: 2.9 states/eV/f.u.
# - Volume: 187 Å³/cell

(3)
# Sb3Os5 (PBE-GGA, relaxed)
data_Sb3Os5
_chemical_formula_sum 'Sb6 Os10'
_space_group_name_H-M_alt 'P 63/m c m'
_space_group_IT_number 193
_space_group_name_Hall '-P 6c 2'
_cell_length_a 7.6371
_cell_length_b 7.6371
_cell_length_c 5.5776
_cell_angle_alpha 90.00
_cell_angle_beta 90.00
_cell_angle_gamma 120.00
loop_
_atom_site_label
_atom_site_type_symbol
_atom_site_fract_x
_atom_site_fract_y
_atom_site_fract_z
Sb1 Sb 0.0000 0.4074 0.2500
Os1 Os 0.0000 0.1973 0.7500
Os2 Os 0.3333 0.6667 0.0000
# - Crystal system: hexagonal
# - E_tot: -7.530 eV/atom
# - DOS at the Fermi energy: 11.4 states/eV/f.u.
# - Volume: 282 Å³/cell

(4)
# Sb3Os (PBE-GGA, relaxed)
data_Sb3Os
_chemical_formula_sum 'Sb6 Os2'
_space_group_name_H-M_alt 'C m m m'
_space_group_IT_number 65
_space_group_name_Hall '-C 2 2'
_cell_length_a 6.377
_cell_length_b 7.943
_cell_length_c 3.473
_cell_angle_alpha 90.00
_cell_angle_beta 90.00
_cell_angle_gamma 90.00
loop_
_atom_site_label
_atom_site_type_symbol
_atom_site_fract_x
_atom_site_fract_y
_atom_site_fract_z
Sb1 Sb 0.000 0.000 0.000
Sb2 Sb 0.250 0.250 0.500
Os1 Os 0.000 0.500 0.000
# - Crystal system: orthorhombic
# - E_tot: -5.109 eV/atom
# - DOS at the Fermi energy: 3.4 states/eV/f.u.
# - Volume: 176 Å³/cell

(5)
# Sb3Os (PBE-GGA, relaxed)
data_Sb3Os
_chemical_formula_sum 'Sb6 Os2'
_space_group_name_H-M_alt 'C 1 2/m 1'
_space_group_IT_number 12
_cell_length_a 7.564
_cell_length_b 3.203
_cell_length_c 9.256
_cell_angle_alpha 90.00
_cell_angle_beta 103.88
_cell_angle_gamma 90.00
loop_
_space_group_symop_operation_xyz
'x,y,z'
'-x,-y,-z'
'-x,y,-z'
'x,-y,z'
'x+1/2,y+1/2,z'
'-x+1/2,-y+1/2,-z'
'-x+1/2,y+1/2,-z'
'x+1/2,-y+1/2,z'
loop_
_atom_site_label
_atom_site_type_symbol
_atom_site_fract_x
_atom_site_fract_y
_atom_site_fract_z
Sb1 Sb 0.000 0.000 0.000
Sb2 Sb 0.156 0.000 0.335
Os1 Os 0.000 0.500 0.500
# - Crystal system: monoclinic
# - E_tot: -5.583 eV/atom
# - DOS at the Fermi energy: 2.3 states/eV/f.u.
# - Volume: 218 Å³/cell

(6)
# Sb2Os (PBE-GGA, relaxed)
data_Sb2Os
_chemical_formula_sum 'Sb8 Os4'
_space_group_name_H-M_alt 'C m c m'
_space_group_IT_number 63
_space_group_name_Hall '-C 2c 2'
_cell_length_a 3.269
_cell_length_b 17.483
_cell_length_c 5.152
_cell_angle_alpha 90.00
_cell_angle_beta 90.00
_cell_angle_gamma 90.00
loop_
_atom_site_label
_atom_site_type_symbol
_atom_site_fract_x
_atom_site_fract_y
_atom_site_fract_z
Sb1 Sb 0.000 0.046 0.250
Sb2 Sb 0.000 0.291 0.250
Os1 Os 0.000 0.335 0.750
# - Crystal system: orthorhombic
# - E_tot: -6.265 eV/atom
# - DOS at the Fermi energy: 1.1 states/eV/f.u.
# - Volume: 294 Å³/cell

(7)
# Sb3Os2 (PBE-GGA, relaxed)
data_Sb3Os2
_chemical_formula_sum 'Sb24 Os16'
_space_group_name_H-M_alt 'F d d 2'
_space_group_IT_number 43
_space_group_name_Hall 'F 2 -2d'
_cell_length_a 11.411
_cell_length_b 15.980
_cell_length_c 4.949
_cell_angle_alpha 90.00
_cell_angle_beta 90.00
_cell_angle_gamma 90.00
loop_
_atom_site_label
_atom_site_type_symbol
_atom_site_fract_x
_atom_site_fract_y
_atom_site_fract_z
Sb1 Sb 0.000 0.000 0.000
Sb2 Sb 0.002 0.180 0.453
Os1 Os 0.080 0.344 0.452
# - Crystal system: orthorhombic
# - E_tot: -6.650 eV/atom
# - DOS at the Fermi energy: 2.8 states/eV/f.u.
# - Volume: 902 Å³/cell

(8)
# Sb5Os (PBE-GGA, relaxed)
data_Sb5Os
_chemical_formula_sum 'Sb10 Os2'
_space_group_name_H-M_alt 'C m m m'
_space_group_IT_number 65
_space_group_name_Hall '-C 2 2'
_cell_length_a 4.206
_cell_length_b 16.380
_cell_length_c 5.208
_cell_angle_alpha 90.00
_cell_angle_beta 90.00
_cell_angle_gamma 90.00
loop_
_atom_site_label
_atom_site_type_symbol
_atom_site_fract_x
_atom_site_fract_y
_atom_site_fract_z
Sb1 Sb 0.000 0.000 0.000
Sb2 Sb 0.000 0.311 0.000
Sb3 Sb 0.000 0.398 0.500
Os1 Os 0.000 0.000 0.500
# - Crystal system: orthorhombic
# - E_tot: -5.131 eV/atom
# - DOS at the Fermi energy: 2.7 states/eV/f.u.
# - Volume: 359 Å³/cell

(9)
# Sb5Os3 (PBE-GGA, relaxed)
data_Sb5Os3
_chemical_formula_sum 'Sb10 Os6'
_space_group_name_H-M_alt 'C m m m'
_space_group_IT_number 65
_space_group_name_Hall '-C 2 2'
_cell_length_a 7.663
_cell_length_b 10.960
_cell_length_c 4.172
_cell_angle_alpha 90.00
_cell_angle_beta 90.00
_cell_angle_gamma 90.00
loop_
_atom_site_label
_atom_site_type_symbol
_atom_site_fract_x
_atom_site_fract_y
_atom_site_fract_z
Sb1 Sb 0.000 0.000 0.000
Sb2 Sb 0.222 0.500 0.500
Sb3 Sb 0.250 0.250 0.000
Os1 Os 0.000 0.315 0.500
Os2 Os 0.000 0.500 0.000
# - Crystal system: orthorhombic
# - E_tot: -6.074 eV/atom
# - DOS at the Fermi energy: 7.9 states/eV/f.u.
# - Volume: 350 Å³/cell

(10)
# Sb5Os (PBE-GGA, relaxed)
data_Sb5Os
_chemical_formula_sum 'Sb20 Os4'
_space_group_name_H-M_alt 'F -4 3 m'
_space_group_IT_number 216
_space_group_name_Hall 'F -4 2 3'
_cell_length_a 8.619
_cell_length_b 8.619
_cell_length_c 8.619
_cell_angle_alpha 90.00
_cell_angle_beta 90.00
_cell_angle_gamma 90.00
loop_
_atom_site_label
_atom_site_type_symbol
_atom_site_fract_x
_atom_site_fract_y
_atom_site_fract_z
Sb1 Sb 0.000 0.000 0.000
Sb2 Sb 0.124 0.124 0.624
Os1 Os 0.250 0.250 0.250
# - Crystal system: cubic
# - E_tot: -4.122 eV/atom
# - DOS at the Fermi energy: 6.7 states/eV/f.u.
# - Volume: 640 Å³/cell

(11)
# Sb2Os (PBE-GGA, relaxed)
data_Sb2Os
_chemical_formula_sum 'Sb8 Os4'
_space_group_name_H-M_alt 'P a -3'
_space_group_IT_number 205
_space_group_name_Hall '-P 2ac 2ab 3'
_cell_length_a 6.499
_cell_length_b 6.499
_cell_length_c 6.499
_cell_angle_alpha 90.00
_cell_angle_beta 90.00
_cell_angle_gamma 90.00
loop_
_atom_site_label
_atom_site_type_symbol
_atom_site_fract_x
_atom_site_fract_y
_atom_site_fract_z
Sb1 Sb 0.134 0.134 0.134
Os1 Os 0.000 0.000 0.500
# - Crystal system: cubic
# - E_tot: -6.216 eV/atom
# - DOS at the Fermi energy: 3.6 states/eV/f.u.
# - Volume: 274 Å³/cell

(12)
# Sb2Os (PBE-GGA, relaxed)
data_Sb2Os
_chemical_formula_sum 'Sb4 Os2'
_space_group_name_H-M_alt 'P n n m'
_space_group_IT_number 58
_cell_length_a 6.010
_cell_length_b 6.756
_cell_length_c 3.250
_cell_angle_alpha 90.00
_cell_angle_beta 90.00
_cell_angle_gamma 90.00
loop_
_space_group_symop_operation_xyz
'x,y,z'
'-x,-y,-z'
'-x,-y,z'
'x,y,-z'
'x+1/2,-y+1/2,-z+1/2'
'-x+1/2,y+1/2,z+1/2'
'-x+1/2,y+1/2,-z+1/2'
'x+1/2,-y+1/2,z+1/2'
loop_
_atom_site_label
_atom_site_type_symbol
_atom_site_fract_x
_atom_site_fract_y
_atom_site_fract_z
Sb1 Sb 0.182 0.142 0.000
Os1 Os 0.000 0.500 0.000
# - Crystal system: orthorhombic
# - E_tot: -6.510 eV/atom
# - Volume: 132 Å³/cell

(13)
# Sb3Os (PBE-GGA, relaxed)
data_Sb3Os
_chemical_formula_sum 'Sb12 Os4'
_space_group_name_H-M_alt 'F m -3 m'
_space_group_IT_number 225
_space_group_name_Hall '-F 4 2 3'
_cell_length_a 7.049
_cell_length_b 7.049
_cell_length_c 7.049
_cell_angle_alpha 90.00
_cell_angle_beta 90.00
_cell_angle_gamma 90.00
loop_
_atom_site_label
_atom_site_type_symbol
_atom_site_fract_x
_atom_site_fract_y
_atom_site_fract_z
Sb1 Sb 0.000 0.000 0.000
Sb2 Sb 0.250 0.250 0.250
Os1 Os 0.000 0.000 0.500
# - Crystal system: cubic
# - E_tot: -5.140 eV/atom
# - DOS at the Fermi energy: 4.8 states/eV/f.u.
# - Volume: 350 Å³/cell